[1]
TbPa2Zn9, relaxed, DFT GGA-PBE; V = 18.10 Å³ per atom; E = -37.0 eV per cell; formation energy from the elements = -0.1630 eV/atom
1.0
5.1153 0.0000 1.5224
2.3311 4.5532 1.5224
0.0082 0.0050 9.3274
Zn Pa Tb
9 2 1
direct
0.6645 0.6645 0.0066
0.5834 0.5834 0.7566
0.3355 0.3355 0.9934
0.4166 0.9234 0.2434
0.9234 0.4166 0.2434
0.4166 0.4166 0.2434
0.0766 0.5834 0.7566
0.5834 0.0766 0.7566
0.5000 0.5000 0.5000
0.8504 0.8504 0.4489
0.1496 0.1496 0.5511
0.0000 0.0000 0.0000

=====

[2]
TbPa2Zn6, relaxed, DFT GGA-PBE; V = 19.47 Å³ per atom; E = -32.8 eV per cell; formation energy from the elements = -0.1730 eV/atom
1.0
-0.8939 2.9453 0.9423
-4.8012 0.5536 -6.2852
-2.7201 -3.0055 6.8139
Zn Pa Tb
6 2 1
direct
0.5000 0.3330 0.0000
0.5000 0.6670 0.6670
0.5000 0.3330 0.3330
0.5000 0.0000 0.6670
0.5000 0.0000 0.3330
0.5000 0.6670 0.0000
0.0000 0.3333 0.6667
0.0000 0.6667 0.3333
0.0000 0.0000 0.0000

=====

[3]
TbPa2Zn, relaxed, DFT GGA-PBE; V = 24.49 Å³ per atom; E = -23.8 eV per cell; formation energy from the elements = 0.2625 eV/atom
1.0
-0.0148 -2.9243 -1.1274
2.1933 -0.9003 -2.0498
7.4650 -4.6625 7.6394
Tb Pa Zn
1 2 1
direct
0.0000 0.0000 0.0000
0.9077 0.9077 0.2770
0.0923 0.0923 0.7230
0.5000 0.5000 0.5000